Entry 1:
A plane-wave DFT calculation with PBEsol was carried out for Mn2Os after structural relaxation.

Output
- Crystal system: cubic
- Theoretical density: 14.490 g/cm³
- Electronic total energy: -0.77566 Ry/atom
- N(E_F): 3.9 states/eV/f.u.
- DFT formation energy: 0.03 eV/atom

Cell: 6.504 6.504 6.504 Å, 90.00 90.00 90.00°
Space group Fd-3m (No. 227, origin choice 2)
One atom of each set of equivalent atoms:
1 Mn 0.000 0.000 0.000 [16 per cell]
2 Os 0.125 0.125 0.625 [8 per cell]

=====

Entry 2:
A plane-wave DFT calculation with PBEsol was carried out for Mn3Os after structural relaxation.

Output
- Crystal system: tetragonal
- Theoretical density: 12.504 g/cm³
- Electronic total energy: -0.74830 Ry/atom
- N(E_F): 5.9 states/eV/f.u.
- DFT formation energy: 0.19 eV/atom

Cell: 2.868 2.868 5.734 Å, 90.00 90.00 90.00°
Space group P4/mmm (No. 123)
One atom of each set of equivalent atoms:
1 Mn 0.000 0.000 0.000 [1 per cell]
2 Mn 0.500 0.500 0.229 [2 per cell]
3 Os 0.000 0.000 0.500 [1 per cell]

=====

Entry 3:
A plane-wave DFT calculation with PBEsol was carried out for MnOs after structural relaxation.

Output
- Crystal system: hexagonal
- Theoretical density: 14.815 g/cm³
- Electronic total energy: -0.74588 Ry/atom
- N(E_F): 2.5 states/eV/f.u.
- DFT formation energy: 0.84 eV/atom

Cell: 3.7559 3.7559 4.4985 Å, 90.00 90.00 120.00°
Space group P6_3/mmc (No. 194)
One atom of each set of equivalent atoms:
1 Mn 0.0000 0.0000 0.0000 [2 per cell]
2 Os 0.3333 0.6667 0.2500 [2 per cell]